Entry 1:
BeCdCl2: relaxed, GGA-PBE.

a b c (Å): 5.8731 5.8731 5.8731
angles (deg): 148.55 107.23 81.42
Element x y z (fractional)
Be 0.0000 0.0000 0.0000
Cd 0.2381 0.7381 0.5000
Cl 0.4792 0.4792 0.0000
Cl 0.8570 0.3570 0.5000

Computed properties:
E above lowest polymorph	427	meV per atom
ΔE_f (raw)	-0.48	eV/atom
total DFT energy (no corrections)	-2.56	eV/atom
N(E_F)	0.15	states/eV per atom

=====

Entry 2:
RbH2Se6S2: relaxed, GGA-PBE.

a b c (Å): 7.5020 7.7698 7.8223
angles (deg): 114.51 97.14 112.28
Element x y z (fractional)
Rb 0.0000 0.0000 0.0000
H 0.1829 0.6299 0.2695
H 0.8171 0.3701 0.7305
Se 0.1350 0.1560 0.6620
Se 0.1795 0.6788 0.5840
Se 0.1832 0.6177 0.0689
Se 0.8168 0.3823 0.9311
Se 0.8205 0.3212 0.4160
Se 0.8650 0.8440 0.3380
S 0.3506 0.0279 0.6658
S 0.6494 0.9721 0.3342

Computed properties:
total DFT energy (no corrections)	-3.41	eV/atom
N(E_F)	0.39	states/eV per atom

=====

Entry 3:
TbHO2: relaxed, GGA-PBE.

a b c (Å): 3.6838 4.4982 5.7514
angles (deg): 90.00 90.00 90.00
Element x y z (fractional)
Tb 0.2500 0.2500 0.1801
Tb 0.7500 0.7500 0.8199
H 0.2500 0.7500 0.4169
H 0.7500 0.2500 0.5831
O 0.2500 0.7500 0.0798
O 0.2500 0.7500 0.5877
O 0.7500 0.2500 0.4123
O 0.7500 0.2500 0.9202

Computed properties:
total DFT energy (no corrections)	-7.05	eV/atom
N(E_F)	0.00	states/eV per atom